(1)
Below is crystalline TcNi3Pt3 at its relaxed geometry, with properties calculated at the PBE level.

abc: 4.349 7.102 7.102
angles: 120.00 90.00 90.00
Fractional positions:
Tc  0.250  0.667  0.333
Tc  0.750  0.333  0.667
Ni  0.750  0.895  0.384
Ni  0.750  0.489  0.105
Ni  0.250  0.384  0.489
Ni  0.750  0.616  0.511
Ni  0.250  0.511  0.895
Ni  0.250  0.105  0.616
Pt  0.750  0.746  0.947
Pt  0.750  0.201  0.254
Pt  0.250  0.947  0.201
Pt  0.750  0.053  0.799
Pt  0.250  0.799  0.746
Pt  0.250  0.254  0.053

Computed properties:
Symmetry: P6_3/m, No. 176

(2)
Below is crystalline TcNi6Pt2 at its relaxed geometry, with properties calculated at the PBE level.

abc: 5.734 8.707 5.734
angles: 65.29 93.08 65.29
Fractional positions:
Tc  0.910  0.750  0.090
Tc  0.090  0.250  0.910
Ni  0.240  0.428  0.520
Ni  0.480  0.072  0.760
Ni  0.760  0.572  0.480
Ni  0.520  0.928  0.240
Ni  0.144  0.073  0.413
Ni  0.587  0.427  0.856
Ni  0.856  0.927  0.587
Ni  0.413  0.573  0.144
Ni  0.180  0.931  0.911
Ni  0.089  0.569  0.820
Ni  0.820  0.069  0.089
Ni  0.911  0.431  0.180
Pt  0.239  0.746  0.424
Pt  0.576  0.754  0.761
Pt  0.761  0.254  0.576
Pt  0.424  0.246  0.239

Computed properties:
Symmetry: C2/c, No. 15

(3)
Below is crystalline TcNi2Pt4 at its relaxed geometry, with properties calculated at the PBE level.

abc: 6.513 6.513 6.513
angles: 109.48 109.45 109.48
Fractional positions:
Tc  0.000  0.000  0.000
Tc  0.750  0.500  0.250
Ni  0.875  0.125  0.500
Ni  0.500  0.375  0.625
Ni  0.375  0.875  0.750
Ni  0.250  0.625  0.125
Pt  0.125  0.915  0.377
Pt  0.623  0.749  0.539
Pt  0.960  0.585  0.711
Pt  0.289  0.249  0.873
Pt  0.625  0.751  0.040
Pt  0.790  0.251  0.875
Pt  0.461  0.085  0.210
Pt  0.127  0.415  0.375

Computed properties:
Symmetry: I-42d, No. 122

(4)
Below is crystalline TcNiPt at its relaxed geometry, with properties calculated at the PBE level.

abc: 5.077 6.457 5.420
angles: 106.22 90.00 90.00
Fractional positions:
Pt  0.827  0.813  0.117
Pt  0.673  0.813  0.617
Pt  0.173  0.187  0.883
Pt  0.327  0.187  0.383
Ni  0.331  0.838  0.995
Ni  0.669  0.162  0.005
Ni  0.831  0.162  0.505
Ni  0.169  0.838  0.495
Tc  0.436  0.540  0.222
Tc  0.564  0.460  0.778
Tc  0.064  0.540  0.722
Tc  0.936  0.460  0.278

Computed properties:
Symmetry: P2_1/c, No. 14

(5)
Below is crystalline TcNiPt at its relaxed geometry, with properties calculated at the PBE level.

abc: 5.856 5.856 2.727
angles: 76.54 76.53 26.93
Fractional positions:
Ni  0.007  0.007  0.993
Tc  0.658  0.658  0.342
Pt  0.335  0.335  0.665

Computed properties:
Symmetry: I4mm, No. 107

(6)
Below is crystalline Tc2Ni5Pt12 at its relaxed geometry, with properties calculated at the PBE level.

abc: 5.381 7.624 8.198
angles: 103.16 90.00 110.66
Fractional positions:
Tc  0.707  0.000  0.000
Tc  0.293  0.000  0.000
Ni  0.302  0.603  0.625
Ni  0.363  0.727  0.138
Ni  0.000  0.000  0.500
Ni  0.637  0.273  0.862
Ni  0.698  0.397  0.375
Pt  0.074  0.149  0.261
Pt  0.048  0.604  0.883
Pt  0.556  0.604  0.883
Pt  0.100  0.701  0.399
Pt  0.601  0.701  0.399
Pt  0.481  0.961  0.661
Pt  0.519  0.039  0.339
Pt  0.900  0.299  0.601
Pt  0.399  0.299  0.601
Pt  0.952  0.396  0.117
Pt  0.444  0.396  0.117
Pt  0.926  0.851  0.739

Computed properties:
Symmetry: C2/m, No. 12

DFT total energy for every record listed, in sequence, given in Ry/atom: -0.483; -0.465; -0.468; -0.541; -0.549; -0.457.